(1)
An optimized crystal structure of AcNdZnRh. Source: the Alexandria database, functional PBE.

Calculated values
As for the uncorrected energy: -4.7790 eV/atom. The crystal system is cubic. Its energy of formation from the pure elements is -156 kJ/mol of formula units. The volume comes out at 25.53 Å³ per atom. The value obtained for the energy relative to the lowest polymorph listed for this composition is 0.234 eV/f.u. The space group is F-43m, No. 216.

The structure in extended XYZ format:
```
4
Lattice="5.247 0.000 0.000 2.623 4.544 0.000 2.623 1.515 4.284" Properties=species:S:1:pos:R:3 pbc="T T T"
Rh 5.247 3.029 2.142
Ac 7.870 4.544 3.213
Nd 2.623 1.515 1.071
Zn 0.000 0.000 0.000
```

(2)
An optimized crystal structure of NaHf2Ni. Source: the Alexandria database, functional PBE.

Calculated values
As for the uncorrected energy: -6.3321 eV/atom. The crystal system is cubic. Its energy of formation from the pure elements is 162 kJ/mol of formula units. The volume comes out at 18.42 Å³ per atom. The value obtained for the energy relative to the lowest polymorph listed for this composition is 0.000 eV/f.u. The space group is Fm-3m, No. 225.

The structure in extended XYZ format:
```
4
Lattice="2.969 -0.834 3.553 -1.301 0.939 4.423 -0.852 -3.523 3.000" Properties=species:S:1:pos:R:3 pbc="T T T"
Ni 0.408 -1.709 5.488
Hf 0.204 -0.855 2.744
Hf 0.612 -2.564 8.232
Na 0.000 0.000 0.000
```

(3)
An optimized crystal structure of Sc3MnAu. Source: the Alexandria database, functional PBE.

Calculated values
As for the uncorrected energy: -5.5008 eV/atom. The crystal system is cubic. Its energy of formation from the pure elements is 380 kJ/mol of formula units. The volume comes out at 26.50 Å³ per atom. The value obtained for the energy relative to the lowest polymorph listed for this composition is 3.646 eV/f.u. The space group is Pm-3m, No. 221.

The structure in extended XYZ format:
```
5
Lattice="5.098 0.000 0.000 0.000 5.098 0.000 0.000 0.000 5.098" Properties=species:S:1:pos:R:3 pbc="T T T"
Sc 0.000 2.549 0.000
Sc 0.000 0.000 2.549
Sc 2.549 0.000 0.000
Mn 2.549 2.549 2.549
Au 0.000 0.000 0.000
```

(4)
An optimized crystal structure of Tb5Al2Ge5. Source: the Alexandria database, functional PBE.

Calculated values
As for the uncorrected energy: -5.1723 eV/atom. The crystal system is monoclinic. Its energy of formation from the pure elements is -805 kJ/mol of formula units. The volume comes out at 22.56 Å³ per atom. The space group is C2/m, No. 12.

The structure in extended XYZ format:
```
12
Lattice="-3.837 0.850 1.370 -0.338 -7.200 -2.798 4.287 3.382 9.904" Properties=species:S:1:pos:R:3 pbc="T T T"
Tb 0.225 2.116 5.637
Tb 1.576 2.118 9.420
Tb -1.400 -1.197 3.144
Tb 1.512 -1.771 5.333
Tb -1.464 -5.085 -0.942
Al 2.615 0.663 6.910
Al -2.502 -3.630 1.568
Ge 1.205 0.293 3.193
Ge 0.433 -0.270 7.700
Ge -0.320 -2.698 0.777
Ge -1.093 -3.260 5.284
Ge 0.000 0.000 0.000
```

(5)
An optimized crystal structure of Rb2Tl2Hg. Source: the Alexandria database, functional PBE.

Calculated values
As for the uncorrected energy: -1.4956 eV/atom. The crystal system is monoclinic. Its energy of formation from the pure elements is -49 kJ/mol of formula units. The volume comes out at 42.22 Å³ per atom. The value obtained for the energy relative to the lowest polymorph listed for this composition is 0.109 eV/f.u. The space group is C2/m, No. 12.

The structure in extended XYZ format:
```
10
Lattice="-1.492 -0.848 5.365 -2.574 -6.487 1.216 9.945 -4.016 5.087" Properties=species:S:1:pos:R:3 pbc="T T T"
Rb 1.421 -3.936 5.687
Rb 6.660 -6.243 9.736
Rb 4.458 -7.416 5.981
Rb -0.781 -5.108 1.932
Tl 4.650 -3.938 3.628
Tl 5.581 -9.853 8.865
Tl 1.229 -7.413 8.041
Tl 0.298 -1.498 2.803
Hg 5.229 -3.776 6.771
Hg 0.650 -7.576 4.897
```

(6)
An optimized crystal structure of LiAcPrMg. Source: the Alexandria database, functional PBE.

Calculated values
As for the uncorrected energy: -3.0827 eV/atom. The crystal system is cubic. Its energy of formation from the pure elements is 6 kJ/mol of formula units. The volume comes out at 32.06 Å³ per atom. The space group is F-43m, No. 216.

The structure in extended XYZ format:
```
4
Lattice="5.660 0.000 0.000 2.830 4.902 0.000 2.830 1.634 4.621" Properties=species:S:1:pos:R:3 pbc="T T T"
Pr 2.830 1.634 1.155
Ac 8.490 4.902 3.466
Mg 5.660 3.268 2.311
Li 0.000 0.000 0.000
```

(7)
An optimized crystal structure of PmScOs4. Source: the Alexandria database, functional PBE.

Calculated values
As for the uncorrected energy: -9.5269 eV/atom. The crystal system is cubic. Its energy of formation from the pure elements is -112 kJ/mol of formula units. The volume comes out at 17.86 Å³ per atom. The space group is F-43m, No. 216.

The structure in extended XYZ format:
```
6
Lattice="5.332 0.000 0.000 2.666 4.617 0.000 2.666 1.539 4.353" Properties=species:S:1:pos:R:3 pbc="T T T"
Sc 0.000 0.000 0.000
Os 5.332 3.078 0.539
Os 5.332 1.534 2.722
Os 6.669 3.850 2.722
Os 3.994 3.850 2.722
Pm 2.666 1.539 1.088
```

(8)
An optimized crystal structure of KSrPt3. Source: the Alexandria database, functional PBE.

Calculated values
As for the uncorrected energy: -3.2652 eV/atom. The crystal system is cubic. Its energy of formation from the pure elements is 441 kJ/mol of formula units. The volume comes out at 32.54 Å³ per atom. The value obtained for the energy relative to the lowest polymorph listed for this composition is 0.000 eV/f.u. The space group is Pm-3m, No. 221.

The structure in extended XYZ format:
```
5
Lattice="-2.252 4.150 2.740 -4.429 -3.042 0.968 2.263 -1.824 4.622" Properties=species:S:1:pos:R:3 pbc="T T T"
Sr 0.000 0.000 0.000
K -2.209 -0.358 4.165
Pt -2.214 -1.521 0.484
Pt 1.131 -0.912 2.311
Pt -1.126 2.075 1.370
```

(9)
An optimized crystal structure of DyIn5Br8. Source: the Alexandria database, functional PBE.

Calculated values
As for the uncorrected energy: -3.2308 eV/atom. For the formation energy from raw total energies, the calculation gives -0.9682 eV/atom. The crystal system is tetragonal. The volume comes out at 33.67 Å³ per atom. The space group is I-4, No. 82.

The structure in extended XYZ format:
```
14
Lattice="-2.457 1.405 -8.011 -5.366 -5.716 3.272 -0.163 7.202 4.504" Properties=species:S:1:pos:R:3 pbc="T T T"
Dy -4.720 -0.335 2.703
In -3.622 5.972 -2.196
In -5.197 1.954 -1.244
In -0.986 1.539 -2.516
In -3.911 -2.156 -2.369
In -3.256 3.437 -5.797
Br -4.167 -3.177 2.776
Br -2.777 0.188 0.620
Br -5.934 -1.145 -0.057
Br -3.522 2.331 3.802
Br -4.385 0.603 -3.989
Br -5.503 -0.218 5.490
Br -6.434 1.868 1.928
Br -2.130 3.993 -0.225
```

(10)
An optimized crystal structure of Be2PbS. Source: the Alexandria database, functional PBE.

Calculated values
As for the uncorrected energy: -2.9264 eV/atom. For the formation energy from raw total energies, the calculation gives 0.8957 eV/atom. The crystal system is cubic. The volume comes out at 16.56 Å³ per atom. The value obtained for the energy relative to the lowest polymorph listed for this composition is 3.601 eV/f.u. The space group is Fm-3m, No. 225.

The structure in extended XYZ format:
```
4
Lattice="0.000 3.211 3.211 3.211 0.000 3.211 3.211 3.211 0.000" Properties=species:S:1:pos:R:3 pbc="T T T"
Pb 3.211 3.211 3.211
Be 1.606 1.606 1.606
Be 4.817 4.817 4.817
S 0.000 0.000 0.000
```

(11)
An optimized crystal structure of Ta2IrBr. Source: the Alexandria database, functional PBE.

Calculated values
As for the uncorrected energy: -8.4173 eV/atom. For the formation energy from raw total energies, the calculation gives 0.1424 eV/atom. The crystal system is trigonal. The volume comes out at 17.36 Å³ per atom. The value obtained for the energy relative to the lowest polymorph listed for this composition is 0.413 eV/f.u. The space group is R-3m, No. 166.

The structure in extended XYZ format:
```
4
Lattice="9.169 0.003 0.002 8.682 2.947 0.002 8.682 1.435 2.574" Properties=species:S:1:pos:R:3 pbc="T T T"
Ir 19.900 3.288 1.933
Br 6.633 1.096 0.644
Ta 0.034 0.006 0.003
Ta 13.233 2.186 1.285
```

(12)
An optimized crystal structure of Li2AlSnAu4. Source: the Alexandria database, functional PBE.

Calculated values
As for the uncorrected energy: -3.5572 eV/atom. The crystal system is trigonal. Its energy of formation from the pure elements is -364 kJ/mol of formula units. The volume comes out at 17.18 Å³ per atom. The space group is R-3m, No. 166.

The structure in extended XYZ format:
```
8
Lattice="4.557 0.000 0.000 2.279 3.947 0.000 2.279 1.316 7.642" Properties=species:S:1:pos:R:3 pbc="T T T"
Li 6.836 3.947 5.778
Li 2.279 1.316 1.864
Al 4.557 2.631 3.821
Sn 0.000 0.000 0.000
Au 4.557 2.631 6.442
Au 6.836 3.947 3.069
Au 2.279 1.316 4.573
Au 4.557 2.631 1.200
```